No. 1
A plane-wave DFT calculation with PBE was carried out for a geometry-optimized In2FeSe structure.

POSCAR file:
```
In2FeSe
1.0
4.841 -1.567 0.000
4.841 1.567 0.000
-2.356 0.000 5.677
In Fe Se
2 1 1
Direct
0.000 0.000 0.000
0.182 0.182 0.655
0.445 0.445 0.615
0.848 0.848 0.319
```

Computed properties:
- density of states at the Fermi level (states/eV per cell) = 2.6
- E_tot (eV per atom) = -4.316
- total moment (Bohr magnetons per cell) = 0.40

No. 2
A plane-wave DFT calculation with PBE was carried out for a geometry-optimized InFeSe structure.

POSCAR file:
```
InFeSe
1.0
-1.550 1.550 5.879
1.550 -1.550 5.879
1.550 1.550 -5.879
In Fe Se
1 1 1
Direct
0.000 0.000 0.000
0.669 0.669 0.000
0.262 0.262 0.000
```

Computed properties:
- density of states at the Fermi level (states/eV per cell) = 2.6
- E_tot (eV per atom) = -4.815
- total moment (Bohr magnetons per cell) = 1.63

No. 3
A plane-wave DFT calculation with PBE was carried out for a geometry-optimized InFeSe structure.

POSCAR file:
```
InFeSe
1.0
0.000 3.136 3.136
3.136 0.000 3.136
3.136 3.136 0.000
In Fe Se
1 1 1
Direct
0.000 0.000 0.000
0.250 0.250 0.250
0.500 0.500 0.500
```

Computed properties:
- density of states at the Fermi level (states/eV per cell) = 3.6
- E_tot (eV per atom) = -4.657
- total moment (Bohr magnetons per cell) = 2.42

No. 4
A plane-wave DFT calculation with PBE was carried out for a geometry-optimized InFeSe2 structure.

POSCAR file:
```
InFeSe2
1.0
2.026 1.170 7.677
-2.026 1.170 7.677
0.000 -2.340 7.677
In Fe Se
1 1 2
Direct
0.000 0.000 0.000
0.500 0.500 0.500
0.400 0.400 0.400
0.600 0.600 0.600
```

Computed properties:
- density of states at the Fermi level (states/eV per cell) = 6.6
- E_tot (eV per atom) = -4.472
- total moment (Bohr magnetons per cell) = 3.03

No. 5
A plane-wave DFT calculation with PBE was carried out for a geometry-optimized In2FeSe structure.

POSCAR file:
```
In2FeSe
1.0
3.108 0.000 0.000
0.000 3.108 0.000
0.000 0.000 8.716
In Fe Se
2 1 1
Direct
0.000 0.000 0.000
0.500 0.500 0.310
0.500 0.500 0.772
0.000 0.000 0.642
```

Computed properties:
- density of states at the Fermi level (states/eV per cell) = 3.5
- E_tot (eV per atom) = -4.297
- total moment (Bohr magnetons per cell) = 1.90

No. 6
A plane-wave DFT calculation with PBE was carried out for a geometry-optimized InFeSe2 structure.

POSCAR file:
```
InFeSe2
1.0
1.822 -3.535 0.000
1.822 3.535 0.000
0.000 0.000 7.841
In Fe Se
1 1 2
Direct
0.000 0.000 0.000
0.000 0.000 0.500
0.500 0.500 0.298
0.500 0.500 0.702
```

Computed properties:
- density of states at the Fermi level (states/eV per cell) = 3.4
- E_tot (eV per atom) = -4.512
- total moment (Bohr magnetons per cell) = 3.28

No. 7
A plane-wave DFT calculation with PBE was carried out for a geometry-optimized InFeSe2 structure.

POSCAR file:
```
InFeSe2
1.0
2.954 0.000 0.000
0.000 2.954 0.000
0.000 0.000 9.113
In Fe Se
1 1 2
Direct
0.000 0.000 0.000
0.500 0.500 0.780
0.000 0.000 0.647
0.500 0.500 0.287
```

Computed properties:
- density of states at the Fermi level (states/eV per cell) = 2.3
- E_tot (eV per atom) = -4.429
- total moment (Bohr magnetons per cell) = 0.49

No. 8
A plane-wave DFT calculation with PBE was carried out for a geometry-optimized InFe3Se structure.

POSCAR file:
```
InFe3Se
1.0
4.831 0.000 0.000
0.000 4.831 0.000
0.000 0.000 4.831
In Fe Se
1 3 1
Direct
0.000 0.000 0.000
0.000 0.000 0.500
0.000 0.500 0.000
0.500 0.000 0.000
0.500 0.500 0.500
```

Computed properties:
- density of states at the Fermi level (states/eV per cell) = 13.3
- E_tot (eV per atom) = -4.807
- total moment (Bohr magnetons per cell) = 8.95

No. 9
A plane-wave DFT calculation with PBE was carried out for a geometry-optimized In2FeSe structure.

POSCAR file:
```
In2FeSe
1.0
1.807 1.043 7.622
-1.807 1.043 7.622
0.000 -2.087 7.622
In Fe Se
2 1 1
Direct
0.248 0.248 0.248
0.752 0.752 0.752
0.500 0.500 0.500
0.000 0.000 0.000
```

Computed properties:
- density of states at the Fermi level (states/eV per cell) = 4.1
- E_tot (eV per atom) = -4.156
- total moment (Bohr magnetons per cell) = 2.56

No. 10
A plane-wave DFT calculation with PBE was carried out for a geometry-optimized In2FeSe structure.

POSCAR file:
```
In2FeSe
1.0
0.000 3.515 3.515
3.515 0.000 3.515
3.515 3.515 0.000
In Fe Se
2 1 1
Direct
0.000 0.000 0.000
0.250 0.250 0.250
0.750 0.750 0.750
0.500 0.500 0.500
```

Computed properties:
- density of states at the Fermi level (states/eV per cell) = 6.1
- E_tot (eV per atom) = -3.902
- total moment (Bohr magnetons per cell) = 2.53

No. 11
A plane-wave DFT calculation with PBE was carried out for a geometry-optimized In2FeSe structure.

POSCAR file:
```
In2FeSe
1.0
-2.042 2.042 5.279
2.042 -2.042 5.279
2.042 2.042 -5.279
In Fe Se
2 1 1
Direct
0.000 0.000 0.000
0.750 0.250 0.500
0.500 0.500 0.000
0.250 0.750 0.500
```

Computed properties:
- density of states at the Fermi level (states/eV per cell) = 3.7
- E_tot (eV per atom) = -4.005
- total moment (Bohr magnetons per cell) = 3.18

No. 12
A plane-wave DFT calculation with PBE was carried out for a geometry-optimized In2FeSe structure.

POSCAR file:
```
In2FeSe
1.0
-3.316 3.316 5.418
3.316 -3.316 5.418
3.316 3.316 -5.418
In Fe Se
4 2 2
Direct
0.109 0.625 0.984
0.375 0.359 0.484
0.641 0.125 0.016
0.875 0.891 0.516
0.000 0.000 0.000
0.750 0.250 0.500
0.250 0.750 0.500
0.500 0.500 0.000
```

Computed properties:
- density of states at the Fermi level (states/eV per cell) = 7.6
- E_tot (eV per atom) = -3.955
- total moment (Bohr magnetons per cell) = 5.32